## TbPr2YS4 (PBE)

Data for a relaxed TbPr2YS4 crystal.

Values from the calculation:
Crystal system: monoclinic
Energy relative to the elements, uncorrected (eV/atom): -2.02
Calculated volume (Å³/f.u.): 183.1

Lattice parameters (Å, degrees): 6.899 3.956 7.082 90.00 108.75 90.00
Positions (direct):
Tb (0.000, 0.000, 0.000)
Pr (0.000, 0.500, 0.500)
Pr (0.500, 0.000, 0.500)
Y (0.500, 0.500, 0.000)
S (0.244, 0.500, 0.232)
S (0.257, 0.000, 0.768)
S (0.743, 0.000, 0.232)
S (0.756, 0.500, 0.768)


## Tb4PrY3S8 (PBE)

Data for a relaxed Tb4PrY3S8 crystal.

Values from the calculation:
Crystal system: trigonal
Energy relative to the elements, uncorrected (eV/atom): -2.00
Calculated volume (Å³/f.u.): 348.4

Lattice parameters (Å, degrees): 7.896 7.896 7.896 60.04 60.04 60.04
Positions (direct):
Tb (0.000, 0.000, 0.000)
Tb (0.000, 0.500, 0.500)
Tb (0.500, 0.000, 0.500)
Tb (0.500, 0.500, 0.000)
Pr (0.500, 0.500, 0.500)
Y (0.000, 0.000, 0.500)
Y (0.000, 0.500, 0.000)
Y (0.500, 0.000, 0.000)
S (0.244, 0.755, 0.755)
S (0.245, 0.245, 0.756)
S (0.245, 0.756, 0.245)
S (0.250, 0.250, 0.250)
S (0.750, 0.750, 0.750)
S (0.755, 0.244, 0.755)
S (0.755, 0.755, 0.244)
S (0.756, 0.245, 0.245)